! GGA-PBE Sr2Zn4Ga3Cu, relaxed; values from VASP
! Magnetic moment, Bohr magnetons per cell: 0.00
! Symmetry: P-4m2, No. 115
! Calculated formation energy, eV/atom: -0.29
! Final energy, eV for the cell shown: -24.54
&SYSTEM
  ibrav = 0, nat = 10, ntyp = 4
/
ATOMIC_SPECIES
Zn 65.41 Zn.upf
Sr 87.62 Sr.upf
Ga 69.72 Ga.upf
Cu 63.55 Cu.upf
CELL_PARAMETERS angstrom
-2.772 -0.691 3.408
1.294 -4.251 0.191
7.537 2.594 6.657
ATOMIC_POSITIONS crystal
Zn 0.500 0.000 0.620
Sr 0.500 0.000 0.252
Ga 0.500 0.000 0.866
Ga 0.000 0.000 0.500
Sr 0.000 0.500 0.748
Zn 0.000 0.000 0.000
Zn 0.000 0.500 0.380
Cu 0.500 0.500 0.500
Zn 0.500 0.500 0.000
Ga 0.000 0.500 0.134